1.
A plane-wave DFT calculation with PBE-GGA was carried out for a relaxed Ti2BeGe crystal.

```
Ti2BeGe
1.0
6.807 0.000 0.000
0.000 6.807 0.000
0.000 0.000 5.236
Ti Be Ge
8 4 4
Direct
0.238 0.250 0.125 Ti
0.250 0.738 0.375 Ti
0.250 0.762 0.875 Ti
0.262 0.250 0.625 Ti
0.738 0.750 0.625 Ti
0.750 0.238 0.875 Ti
0.750 0.262 0.375 Ti
0.762 0.750 0.125 Ti
0.000 0.000 0.000 Be
0.000 0.500 0.250 Be
0.500 0.000 0.750 Be
0.500 0.500 0.500 Be
0.000 0.000 0.500 Ge
0.000 0.500 0.750 Ge
0.500 0.000 0.250 Ge
0.500 0.500 0.000 Ge
```

Calculated values
- space group = I-42d (122)
- ΔH_f (0 K) (meV per atom) = 19
- magnetic moment (Bohr magnetons per cell) = 0.00

=====

2.
A plane-wave DFT calculation with PBE-GGA was carried out for a relaxed TiBeVGe2 crystal.

```
TiBeVGe2
1.0
4.709 0.000 0.000
0.000 4.709 0.000
0.000 0.000 4.353
Ti Be V Ge
1 1 1 2
Direct
0.000 0.000 0.000 Ti
0.000 0.000 0.500 Be
0.500 0.500 0.500 V
0.000 0.500 0.000 Ge
0.500 0.000 0.000 Ge
```

Calculated values
- space group = P4/mmm (123)
- ΔH_f (0 K) (meV per atom) = 1097
- magnetic moment (Bohr magnetons per cell) = 0.06

=====

3.
A plane-wave DFT calculation with PBE-GGA was carried out for a relaxed Y2TiBeGe crystal.

```
Y2TiBeGe
1.0
5.023 0.000 0.000
0.000 5.023 0.000
0.000 0.000 4.510
Y Ti Be Ge
2 1 1 1
Direct
0.000 0.500 0.000 Y
0.500 0.000 0.000 Y
0.000 0.000 0.500 Ti
0.000 0.000 0.000 Be
0.500 0.500 0.500 Ge
```

Calculated values
- space group = P4/mmm (123)
- ΔH_f (0 K) (meV per atom) = 94
- magnetic moment (Bohr magnetons per cell) = 0.00